(1)
Material: LaNd5Tl4
Method: DFT, PBE
State: optimized geometry

It has space group Pmmn (No. 59, origin choice 2), with a = 8.589 Å, b = 9.383 Å, c = 8.786 Å, α = 90.00°, β = 90.00° and γ = 90.00°. The asymmetric unit holds La at (0.250, 0.250, 0.159), Nd at (0.008, 0.554, 0.234), Nd at (0.250, 0.750, 0.582), Tl at (0.085, 0.750, 0.941) and Tl at (0.250, 0.087, 0.498).

The value obtained for the formation energy is -0.06 eV/atom.

---

(2)
Material: TaAl4Zn
Method: DFT, PBE
State: optimized geometry

It has space group P2/m (No. 10), with a = 3.050 Å, b = 3.859 Å, c = 8.285 Å, α = 90.00°, β = 90.15° and γ = 90.00°. The asymmetric unit holds Ta at (0.000, 0.000, 0.000), Al at (0.001, 0.000, 0.335), Al at (0.500, 0.500, 0.167) and Zn at (0.500, 0.500, 0.500).

The value obtained for the formation energy is -0.12 eV/atom.

---

(3)
Material: Sr5ThTl6
Method: DFT, PBE
State: optimized geometry

It has space group C2/m (No. 12), with a = 18.260 Å, b = 8.028 Å, c = 5.773 Å, α = 90.00°, β = 108.13° and γ = 90.00°. The asymmetric unit holds Sr at (0.000, 0.000, 0.000), Sr at (0.163, 0.000, 0.664), Sr at (0.177, 0.500, 0.679), Th at (0.000, 0.500, 0.000), Tl at (0.000, 0.272, 0.500) and Tl at (0.161, 0.265, 0.163).

The value obtained for the formation energy is -0.35 eV/atom.

---

(4)
Material: Ba4Na5Cu2
Method: DFT, PBE
State: optimized geometry

It has space group P2/m (No. 10), with a = 9.506 Å, b = 4.318 Å, c = 11.378 Å, α = 90.00°, β = 96.77° and γ = 90.00°. The asymmetric unit holds Ba at (0.162, 0.000, 0.323), Ba at (0.209, 0.000, 0.943), Na at (0.183, 0.500, 0.636), Na at (0.462, 0.500, 0.181), Na at (0.500, 0.500, 0.500) and Cu at (0.055, 0.500, 0.107).

The value obtained for the formation energy is 0.01 eV/atom.

---

(5)
Material: Be2InTcCl
Method: DFT, PBE
State: optimized geometry

It has space group P4/mmm (No. 123), with a = 4.553 Å, b = 4.553 Å, c = 4.562 Å, α = 90.00°, β = 90.00° and γ = 90.00°. The asymmetric unit holds Be at (0.000, 0.500, 0.000), In at (0.000, 0.000, 0.500), Tc at (0.500, 0.500, 0.000) and Cl at (0.500, 0.500, 0.500).

---

(6)
Material: Pr3Ho3Tl2
Method: DFT, PBE
State: optimized geometry

It has space group Cmcm (No. 63), with a = 5.136 Å, b = 12.080 Å, c = 16.699 Å, α = 90.00°, β = 90.00° and γ = 90.00°. The asymmetric unit holds Pr at (0.000, 0.047, 0.104), Pr at (0.000, 0.286, 0.250), Ho at (0.000, 0.365, 0.040), Ho at (0.000, 0.432, 0.750) and Tl at (0.000, 0.236, 0.624).

The value obtained for the formation energy is -0.12 eV/atom.

---

(7)
Material: Si3C
Method: DFT, PBE
State: optimized geometry

It has space group Pm-3n (No. 223), with a = 4.663 Å, b = 4.663 Å, c = 4.663 Å, α = 90.00°, β = 90.00° and γ = 90.00°. The asymmetric unit holds Si at (0.000, 0.250, 0.500) and C at (0.000, 0.000, 0.000).

---

(8)
Material: SiNi2Pt
Method: DFT, PBE
State: optimized geometry

It has space group Imm2 (No. 44), with a = 3.644 Å, b = 3.839 Å, c = 7.023 Å, α = 90.00°, β = 90.00° and γ = 90.00°. The asymmetric unit holds Si at (0.000, 0.000, 0.000), Ni at (0.000, 0.000, 0.494), Ni at (0.000, 0.500, 0.731) and Pt at (0.000, 0.500, 0.254).

---

(9)
Material: GdYHoAl
Method: DFT, PBE
State: optimized geometry

It has space group F-43m (No. 216), with a = 7.575 Å, b = 7.575 Å, c = 7.575 Å, α = 90.00°, β = 90.00° and γ = 90.00°. The asymmetric unit holds Gd at (0.000, 0.000, 0.000), Y at (0.000, 0.000, 0.500), Ho at (0.250, 0.250, 0.250) and Al at (0.250, 0.250, 0.750).

The value obtained for the formation energy is -0.07 eV/atom.

---

(10)
Material: RbZrSe2Cl
Method: DFT, PBE
State: optimized geometry

It has space group P4/mmm (No. 123), with a = 5.291 Å, b = 5.291 Å, c = 5.232 Å, α = 90.00°, β = 90.00° and γ = 90.00°. The asymmetric unit holds Rb at (0.000, 0.000, 0.000), Zr at (0.500, 0.500, 0.500), Se at (0.000, 0.500, 0.500) and Cl at (0.500, 0.500, 0.000).

---

(11)
Material: Li5Ga3
Method: DFT, PBE
State: optimized geometry

It has space group Cmcm (No. 63), with a = 8.608 Å, b = 6.663 Å, c = 8.612 Å, α = 90.00°, β = 90.00° and γ = 90.00°. The asymmetric unit holds Li at (0.000, 0.001, 0.250), Li at (0.000, 0.250, 0.000), Li at (0.250, 0.250, 0.250), Ga at (0.000, 0.499, 0.250) and Ga at (0.247, 0.500, 0.000).

The value obtained for the formation energy is -0.25 eV/atom.

---

(12)
Material: CeBIr
Method: DFT, PBE
State: optimized geometry

It has space group P-6m2 (No. 187), with a = 3.7371 Å, b = 3.7371 Å, c = 4.2629 Å, α = 90.00°, β = 90.00° and γ = 120.00°. The asymmetric unit holds Ce at (0.0000, 0.0000, 0.0000), B at (0.3333, 0.6667, 0.5000) and Ir at (0.6667, 0.3333, 0.5000).

The value obtained for the formation energy is -0.55 eV/atom.

---

(13)
Material: RbSb3Au
Method: DFT, PBE
State: optimized geometry

It has space group Pm-3m (No. 221), with a = 5.582 Å, b = 5.582 Å, c = 5.582 Å, α = 90.00°, β = 90.00° and γ = 90.00°. The asymmetric unit holds Rb at (0.000, 0.000, 0.000), Sb at (0.000, 0.500, 0.500) and Au at (0.500, 0.500, 0.500).

---

(14)
Material: SiAgF3
Method: DFT, PBE
State: optimized geometry

It has space group Pm-3m (No. 221), with a = 4.201 Å, b = 4.201 Å, c = 4.201 Å, α = 90.00°, β = 90.00° and γ = 90.00°. The asymmetric unit holds Si at (0.000, 0.000, 0.000), Ag at (0.500, 0.500, 0.500) and F at (0.000, 0.000, 0.500).

---

(15)
Material: La3PmIr2
Method: DFT, PBE
State: optimized geometry

It has space group C2/m (No. 12), with a = 17.184 Å, b = 4.324 Å, c = 11.992 Å, α = 90.00°, β = 121.33° and γ = 90.00°. The asymmetric unit holds La at (0.059, 0.000, 0.191), La at (0.187, 0.000, 0.561), La at (0.188, 0.500, 0.059), Pm at (0.062, 0.500, 0.688), Ir at (0.125, 0.500, 0.376) and Ir at (0.126, 0.000, 0.872).

The value obtained for the formation energy is -0.60 eV/atom.

---

(16)
Material: LaHOsO6
Method: DFT, PBE
State: optimized geometry

It has space group P1 (No. 1), with a = 4.838 Å, b = 5.037 Å, c = 5.409 Å, α = 64.73°, β = 87.65° and γ = 84.17°. The asymmetric unit holds La at (0.000, 0.000, 0.000), H at (0.288, 0.409, 0.134), Os at (0.427, 0.753, 0.616), O at (0.111, 0.016, 0.569), O at (0.169, 0.471, 0.972), O at (0.233, 0.607, 0.427), O at (0.524, 0.865, 0.887), O at (0.620, 0.992, 0.339) and O at (0.673, 0.436, 0.743).

---

(17)
Material: CaRe2Te
Method: DFT, PBE
State: optimized geometry

It has space group Cmmm (No. 65), with a = 3.274 Å, b = 4.788 Å, c = 9.915 Å, α = 90.00°, β = 90.00° and γ = 90.00°. The asymmetric unit holds Ca at (0.000, 0.000, 0.000), Re at (0.000, 0.500, 0.254) and Te at (0.000, 0.000, 0.500).

---

(18)
Material: Bi3Se4
Method: DFT, PBE
State: optimized geometry

It has space group Cmmm (No. 65), with a = 8.970 Å, b = 11.806 Å, c = 4.130 Å, α = 90.00°, β = 90.00° and γ = 90.00°. The asymmetric unit holds Bi at (0.000, 0.000, 0.000), Bi at (0.250, 0.250, 0.500), Se at (0.000, 0.253, 0.000) and Se at (0.237, 0.000, 0.500).

---

(19)
Material: NaTi2Ge
Method: DFT, PBE
State: optimized geometry

It has space group I-42d (No. 122), with a = 7.530 Å, b = 7.530 Å, c = 5.486 Å, α = 90.00°, β = 90.00° and γ = 90.00°. The asymmetric unit holds Na at (0.000, 0.000, 0.000), Ti at (0.219, 0.250, 0.625) and Ge at (0.000, 0.000, 0.500).

The value obtained for the formation energy is 0.43 eV/atom.

---

(20)
Material: SrLa2CdOs
Method: DFT, PBE
State: optimized geometry

It has space group P4/mmm (No. 123), with a = 5.522 Å, b = 5.522 Å, c = 5.592 Å, α = 90.00°, β = 90.00° and γ = 90.00°. The asymmetric unit holds Sr at (0.000, 0.000, 0.000), La at (0.000, 0.500, 0.500), Cd at (0.500, 0.500, 0.000) and Os at (0.500, 0.500, 0.500).

The value obtained for the formation energy is -0.03 eV/atom.

---

(21)
Material: LiDyY2Rh4
Method: DFT, PBE
State: optimized geometry

It has space group R-3m (No. 166, hexagonal axes), with a = 4.7251 Å, b = 4.7251 Å, c = 23.1376 Å, α = 90.00°, β = 90.00° and γ = 120.00°. The asymmetric unit holds Li at (0.0000, 0.0000, 0.0000), Dy at (0.0000, 0.0000, 0.5000), Y at (0.0000, 0.0000, 0.2577), Rh at (0.0000, 0.0000, 0.1243) and Rh at (0.0000, 0.0000, 0.3773).

The value obtained for the formation energy is -0.69 eV/atom.

---

(22)
Material: SmTm2O
Method: DFT, PBE
State: optimized geometry

It has space group R-3m (No. 166, hexagonal axes), with a = 3.4585 Å, b = 3.4585 Å, c = 26.0767 Å, α = 90.00°, β = 90.00° and γ = 120.00°. The asymmetric unit holds Sm at (0.0000, 0.0000, 0.0000), Tm at (0.0000, 0.0000, 0.2187) and O at (0.0000, 0.0000, 0.5000).

---

(23)
Material: Ac3SbAs2Rh9
Method: DFT, PBE
State: optimized geometry

It has space group P-3m1 (No. 164), with a = 6.3478 Å, b = 6.3478 Å, c = 9.3746 Å, α = 90.00°, β = 90.00° and γ = 120.00°. The asymmetric unit holds Ac at (0.0000, 0.0000, 0.0000), Ac at (0.3333, 0.6667, 0.6925), Sb at (0.0000, 0.0000, 0.5000), As at (0.3333, 0.6667, 0.1659), Rh at (0.0000, 0.5000, 0.0000) and Rh at (0.1461, 0.2921, 0.2805).

---

(24)
Material: SmHoSi
Method: DFT, PBE
State: optimized geometry

It has space group C2/m (No. 12), with a = 11.408 Å, b = 4.221 Å, c = 8.151 Å, α = 90.00°, β = 126.45° and γ = 90.00°. The asymmetric unit holds Sm at (0.086, 0.000, 0.360), Ho at (0.177, 0.500, 0.077) and Si at (0.122, 0.500, 0.661).

---

| no. | volume (Å³ per cell) | total DFT energy (no corrections) (eV per cell) | total moment (μB per formula unit) |
| --- | --- | --- | --- |
| 1 | 708.1 | -77.63 | 0.0 |
| 2 | 97.5 | -28.81 | 0.0 |
| 3 | 804.3 | -68.48 | 0.0 |
| 4 | 463.8 | -22.37 | 0.0 |
| 5 | 94.6 | -18.92 | 0.0 |
| 6 | 1036.0 | -134.96 | 0.0 |
| 7 | 101.4 | -38.96 | 0.0 |
| 8 | 98.2 | -49.38 | 0.0 |
| 9 | 434.7 | -116.62 | 8.1 |
| 10 | 146.5 | -25.32 | 0.0 |
| 11 | 493.9 | -82.74 | 0.0 |
| 12 | 51.6 | -23.13 | 0.6 |
| 13 | 173.9 | -15.65 | 0.0 |
| 14 | 74.2 | -20.82 | 0.0 |
| 15 | 761.1 | -163.48 | 0.0 |
| 16 | 118.6 | -63.96 | 0.0 |
| 17 | 155.4 | -50.86 | 0.0 |
| 18 | 437.4 | -55.58 | 0.0 |
| 19 | 311.0 | -79.97 | 0.0 |
| 20 | 170.5 | -23.83 | 0.0 |
| 21 | 447.4 | -163.08 | 0.0 |
| 22 | 270.1 | -72.30 | 0.0 |
| 23 | 327.1 | -99.47 | 0.0 |
| 24 | 315.7 | -65.07 | 0.0 |